# NpCrIO6

A relaxed structure of NpCrIO6 (PBE+U, Alexandria).

a = 5.539 Å, b = 5.539 Å, c = 9.581 Å
α = 90.00°, β = 90.00°, γ = 120.00°
Element x y z (fractional)
Np  0.333  0.667  0.250
Np  0.667  0.333  0.750
Cr  0.000  0.000  0.000
Cr  0.000  0.000  0.500
I  0.333  0.667  0.750
I  0.667  0.333  0.250
O  0.166  0.331  0.114
O  0.166  0.331  0.386
O  0.166  0.834  0.114
O  0.166  0.834  0.386
O  0.331  0.166  0.614
O  0.331  0.166  0.886
O  0.669  0.834  0.114
O  0.669  0.834  0.386
O  0.834  0.166  0.614
O  0.834  0.166  0.886
O  0.834  0.669  0.614
O  0.834  0.669  0.886

As for the calculated total energy: -7.132 eV per atom. Its symmetry is No. 194.